DFT (PBE) results for crystalline ErHfCoCu at its relaxed geometry.

Values from the calculation:
The calculation puts the total moment at 0.00 μB/cell. The total energy is -106.1 eV per cell.

Cell lengths 6.548, 6.548, 6.548 Å; angles 90.00, 90.00, 90.00 degrees
Fractional positions:
Er  0.000  0.000  0.000
Er  0.000  0.500  0.500
Er  0.500  0.000  0.500
Er  0.500  0.500  0.000
Hf  0.000  0.000  0.500
Hf  0.000  0.500  0.000
Hf  0.500  0.000  0.000
Hf  0.500  0.500  0.500
Co  0.250  0.250  0.250
Co  0.250  0.750  0.750
Co  0.750  0.250  0.750
Co  0.750  0.750  0.250
Cu  0.250  0.250  0.750
Cu  0.250  0.750  0.250
Cu  0.750  0.250  0.250
Cu  0.750  0.750  0.750

---

DFT (PBE) results for crystalline HoErCoCu at its relaxed geometry.

Values from the calculation:
For the energy above the most stable polymorph in this dataset, the calculation gives 0 meV/atom. The calculation puts the total moment at 0.00 μB/cell. The total energy is -42.6 eV per cell.

Cell lengths 4.194, 3.770, 10.142 Å; angles 90.00, 90.00, 90.00 degrees
Fractional positions:
Ho  0.000  0.000  0.000
Ho  0.000  0.500  0.500
Er  0.500  0.000  0.718
Er  0.500  0.500  0.218
Co  0.000  0.000  0.286
Co  0.000  0.500  0.786
Cu  0.500  0.000  0.426
Cu  0.500  0.500  0.926

---

DFT (PBE) results for crystalline HoErCoCu at its relaxed geometry.

Values from the calculation:
For the energy above the most stable polymorph in this dataset, the calculation gives 22 meV/atom. The calculation puts the total moment at 1.37 μB/cell. The total energy is -84.9 eV per cell.

Cell lengths 6.751, 6.751, 6.751 Å; angles 90.00, 90.00, 90.00 degrees
Fractional positions:
Ho  0.000  0.000  0.000
Ho  0.000  0.500  0.500
Ho  0.500  0.000  0.500
Ho  0.500  0.500  0.000
Er  0.000  0.000  0.500
Er  0.000  0.500  0.000
Er  0.500  0.000  0.000
Er  0.500  0.500  0.500
Co  0.250  0.250  0.750
Co  0.250  0.750  0.250
Co  0.750  0.250  0.250
Co  0.750  0.750  0.750
Cu  0.250  0.250  0.250
Cu  0.250  0.750  0.750
Cu  0.750  0.250  0.750
Cu  0.750  0.750  0.250

---

DFT (PBE) results for crystalline ErInCoCu at its relaxed geometry.

Values from the calculation:
The calculation puts the total moment at 2.93 μB/cell. The total energy is -76.7 eV per cell.

Cell lengths 6.531, 6.531, 6.531 Å; angles 90.00, 90.00, 90.00 degrees
Fractional positions:
Er  0.000  0.000  0.000
Er  0.000  0.500  0.500
Er  0.500  0.000  0.500
Er  0.500  0.500  0.000
In  0.000  0.000  0.500
In  0.000  0.500  0.000
In  0.500  0.000  0.000
In  0.500  0.500  0.500
Co  0.250  0.250  0.250
Co  0.250  0.750  0.750
Co  0.750  0.250  0.750
Co  0.750  0.750  0.250
Cu  0.250  0.250  0.750
Cu  0.250  0.750  0.250
Cu  0.750  0.250  0.250
Cu  0.750  0.750  0.750

---

DFT (PBE) results for crystalline ErMnCoCu at its relaxed geometry.

Values from the calculation:
The calculation puts the total moment at 18.91 μB/cell. The total energy is -99.6 eV per cell.

Cell lengths 6.333, 6.333, 6.333 Å; angles 90.00, 90.00, 90.00 degrees
Fractional positions:
Er  0.000  0.000  0.000
Er  0.000  0.500  0.500
Er  0.500  0.000  0.500
Er  0.500  0.500  0.000
Mn  0.000  0.000  0.500
Mn  0.000  0.500  0.000
Mn  0.500  0.000  0.000
Mn  0.500  0.500  0.500
Co  0.250  0.250  0.250
Co  0.250  0.750  0.750
Co  0.750  0.250  0.750
Co  0.750  0.750  0.250
Cu  0.250  0.250  0.750
Cu  0.250  0.750  0.250
Cu  0.750  0.250  0.250
Cu  0.750  0.750  0.750

---

DFT (PBE) results for crystalline NdErCoCu at its relaxed geometry.

Values from the calculation:
For the energy above the most stable polymorph in this dataset, the calculation gives 0 meV/atom. The calculation puts the total moment at 0.00 μB/cell. The total energy is -42.3 eV per cell.

Cell lengths 4.322, 3.841, 10.226 Å; angles 90.00, 90.00, 90.00 degrees
Fractional positions:
Nd  0.000  0.000  0.000
Nd  0.000  0.500  0.500
Er  0.500  0.000  0.718
Er  0.500  0.500  0.218
Co  0.000  0.000  0.282
Co  0.000  0.500  0.782
Cu  0.500  0.000  0.420
Cu  0.500  0.500  0.920

---

DFT (PBE) results for crystalline NdErCoCu at its relaxed geometry.

Values from the calculation:
For the energy above the most stable polymorph in this dataset, the calculation gives 38 meV/atom. The calculation puts the total moment at 1.62 μB/cell. The total energy is -84.1 eV per cell.

Cell lengths 6.897, 6.897, 6.897 Å; angles 90.00, 90.00, 90.00 degrees
Fractional positions:
Nd  0.000  0.000  0.000
Nd  0.000  0.500  0.500
Nd  0.500  0.000  0.500
Nd  0.500  0.500  0.000
Er  0.000  0.000  0.500
Er  0.000  0.500  0.000
Er  0.500  0.000  0.000
Er  0.500  0.500  0.500
Co  0.250  0.250  0.250
Co  0.250  0.750  0.750
Co  0.750  0.250  0.750
Co  0.750  0.750  0.250
Cu  0.250  0.250  0.750
Cu  0.250  0.750  0.250
Cu  0.750  0.250  0.250
Cu  0.750  0.750  0.750

---

DFT (PBE) results for crystalline Er2Co2CuNi5 at its relaxed geometry.

Values from the calculation:
The calculation puts the total moment at 6.88 μB/cell. The total energy is -115.7 eV per cell.

Cell lengths 8.586, 8.586, 3.786 Å; angles 90.00, 90.00, 90.00 degrees
Fractional positions:
Er  0.183  0.317  0.000
Er  0.317  0.817  0.000
Er  0.683  0.183  0.000
Er  0.817  0.683  0.000
Co  0.113  0.613  0.000
Co  0.387  0.113  0.000
Co  0.613  0.887  0.000
Co  0.887  0.387  0.000
Cu  0.000  0.000  0.000
Cu  0.500  0.500  0.000
Ni  0.000  0.500  0.500
Ni  0.059  0.794  0.500
Ni  0.206  0.059  0.500
Ni  0.294  0.559  0.500
Ni  0.441  0.294  0.500
Ni  0.500  0.000  0.500
Ni  0.559  0.706  0.500
Ni  0.706  0.441  0.500
Ni  0.794  0.941  0.500
Ni  0.941  0.206  0.500

---

ΔH_f (0 K)
In order: -0.8 -1.0 -0.9 -0.7 0.0 -0.6 -0.5 -1.5
Unit: eV per formula unit